Record 1
First-principles (GGA-PBEsol) data for crystalline RbMn2BiTe at its relaxed geometry, as listed in the Alexandria database.

Summary:
M_tot in μB/f.u.: 7.70
SG: P4/mmm, No. 123
Uncorrected formation energy in eV/f.u.: 4.01
Total DFT energy (no corrections) in eV/atom: -4.870

Cell: 5.061 5.061 6.261 Å, 90.00 90.00 90.00°
Sites, in units of the cell vectors:
Rb 0.000 0.000 0.000
Mn 0.000 0.500 0.500
Mn 0.500 0.000 0.500
Bi 0.500 0.500 0.000
Te 0.500 0.500 0.500



Record 2
First-principles (GGA-PBEsol) data for crystalline K3PS at its relaxed geometry, as listed in the Alexandria database.

Summary:
M_tot in μB/f.u.: 2.00
SG: Pm-3m, No. 221
Uncorrected formation energy in eV/f.u.: -1.02
Total DFT energy (no corrections) in eV/atom: -2.920

Cell: 5.897 5.897 5.897 Å, 90.00 90.00 90.00°
Sites, in units of the cell vectors:
K 0.000 0.000 0.500
K 0.000 0.500 0.000
K 0.500 0.000 0.000
P 0.500 0.500 0.500
S 0.000 0.000 0.000



Record 3
First-principles (GGA-PBEsol) data for crystalline CoRu2Pt at its relaxed geometry, as listed in the Alexandria database.

Summary:
Energy of formation from the pure elements in eV/atom: 0.45
M_tot in μB/f.u.: 2.45
SG: Fm-3m, No. 225
Total DFT energy (no corrections) in eV/atom: -8.315

Cell: 5.989 5.989 5.989 Å, 90.00 90.00 90.00°
Sites, in units of the cell vectors:
Co 0.000 0.000 0.000
Co 0.000 0.500 0.500
Co 0.500 0.000 0.500
Co 0.500 0.500 0.000
Ru 0.250 0.250 0.250
Ru 0.250 0.250 0.750
Ru 0.250 0.750 0.250
Ru 0.250 0.750 0.750
Ru 0.750 0.250 0.250
Ru 0.750 0.250 0.750
Ru 0.750 0.750 0.250
Ru 0.750 0.750 0.750
Pt 0.000 0.000 0.500
Pt 0.000 0.500 0.000
Pt 0.500 0.000 0.000
Pt 0.500 0.500 0.500



Record 4
First-principles (GGA-PBEsol) data for crystalline LaAg2Mo2 at its relaxed geometry, as listed in the Alexandria database.

Summary:
Energy of formation from the pure elements in eV/atom: 0.42
M_tot in μB/f.u.: 0.00
SG: I4/mmm, No. 139
Total DFT energy (no corrections) in eV/atom: -6.682

Cell: 3.774 3.774 13.959 Å, 90.00 90.00 90.00°
Sites, in units of the cell vectors:
La 0.000 0.000 0.000
La 0.500 0.500 0.500
Ag 0.000 0.000 0.399
Ag 0.000 0.000 0.601
Ag 0.500 0.500 0.101
Ag 0.500 0.500 0.899
Mo 0.000 0.500 0.250
Mo 0.000 0.500 0.750
Mo 0.500 0.000 0.250
Mo 0.500 0.000 0.750



Record 5
First-principles (GGA-PBEsol) data for crystalline BaLiTi2Ga at its relaxed geometry, as listed in the Alexandria database.

Summary:
Energy of formation from the pure elements in eV/atom: 1.00
M_tot in μB/f.u.: 0.00
SG: P4/mmm, No. 123
Total DFT energy (no corrections) in eV/atom: -3.818

Cell: 4.757 4.757 4.854 Å, 90.00 90.00 90.00°
Sites, in units of the cell vectors:
Ba 0.000 0.000 0.000
Li 0.000 0.000 0.500
Ti 0.000 0.500 0.500
Ti 0.500 0.000 0.500
Ga 0.500 0.500 0.000



Record 6
First-principles (GGA-PBEsol) data for crystalline LaBiSe2O at its relaxed geometry, as listed in the Alexandria database.

Summary:
M_tot in μB/f.u.: 0.00
SG: P4/nmm, No. 129
Uncorrected formation energy in eV/f.u.: -8.73
Total DFT energy (no corrections) in eV/atom: -6.263

Cell: 4.095 4.095 14.591 Å, 90.00 90.00 90.00°
Sites, in units of the cell vectors:
La 0.250 0.250 0.083
La 0.750 0.750 0.917
Bi 0.250 0.250 0.632
Bi 0.750 0.750 0.368
Se 0.250 0.250 0.401
Se 0.250 0.250 0.814
Se 0.750 0.750 0.186
Se 0.750 0.750 0.599
O 0.250 0.750 0.000
O 0.750 0.250 0.000



- Number 3 is which compound?
  CoRu2Pt



- The lowest total DFT energy (no corrections) belongs to which entry?
  CoRu2Pt



Copy entry 3 word for word.
First-principles (GGA-PBEsol) data for crystalline CoRu2Pt at its relaxed geometry, as listed in the Alexandria database.

Summary:
Energy of formation from the pure elements in eV/atom: 0.45
M_tot in μB/f.u.: 2.45
SG: Fm-3m, No. 225
Total DFT energy (no corrections) in eV/atom: -8.315

Cell: 5.989 5.989 5.989 Å, 90.00 90.00 90.00°
Sites, in units of the cell vectors:
Co 0.000 0.000 0.000
Co 0.000 0.500 0.500
Co 0.500 0.000 0.500
Co 0.500 0.500 0.000
Ru 0.250 0.250 0.250
Ru 0.250 0.250 0.750
Ru 0.250 0.750 0.250
Ru 0.250 0.750 0.750
Ru 0.750 0.250 0.250
Ru 0.750 0.250 0.750
Ru 0.750 0.750 0.250
Ru 0.750 0.750 0.750
Pt 0.000 0.000 0.500
Pt 0.000 0.500 0.000
Pt 0.500 0.000 0.000
Pt 0.500 0.500 0.500